Density functional theory data (PBE-GGA) for an optimized crystal structure of SbBrCl.

Computed properties:
**Density**: 3.1 Mg/m³
**Calculated total energy**: -9.41 eV per formula unit

Structure (POSCAR):
```
SbBrCl
1.0
5.941 -0.464 0.921
2.341 7.361 -1.137
4.322 -1.362 6.634
Br Cl Sb
2 2 2
Direct
0.280 0.858 0.950
0.096 0.394 0.275
0.941 0.369 0.852
0.435 0.884 0.374
0.677 0.150 0.938
0.699 0.103 0.287
```